A relaxed Sr3NiPtO6 crystal. Source: Alexandria via LeMat-Bulk, functional GGA+U.

Lattice parameters (Å, degrees): 9.6794 9.6794 11.3349 90.00 90.00 120.00
Space group R-3c (No. 167, hexagonal axes)
Inequivalent atoms, fractional coordinates:
Sr (0.0000, 0.3641, 0.2500) (multiplicity 18)
Ni (0.0000, 0.0000, 0.2500) (multiplicity 6)
Pt (0.0000, 0.0000, 0.0000) (multiplicity 6)
O (0.0248, 0.1744, 0.3849) (multiplicity 36)

Results
Energy ... -5.883 eV/atom

---

A relaxed TaNiPtO6 crystal. Source: Alexandria via LeMat-Bulk, functional GGA+U.

Lattice parameters (Å, degrees): 4.7036 4.7036 9.2849 90.00 90.00 90.00
Space group P4_2nm (No. 102)
Inequivalent atoms, fractional coordinates:
Ta (0.0000, 0.0000, 0.0000) (multiplicity 2)
Ni (0.0000, 0.0000, 0.3288) (multiplicity 2)
Pt (0.0000, 0.0000, 0.6622) (multiplicity 2)
O (0.1900, 0.1900, 0.8315) (multiplicity 4)
O (0.1966, 0.1966, 0.4991) (multiplicity 4)
O (0.2032, 0.2032, 0.1548) (multiplicity 4)

Results
Energy ... -7.041 eV/atom

---

A relaxed TaNi2PtO6 crystal. Source: Alexandria via LeMat-Bulk, functional GGA+U.

Lattice parameters (Å, degrees): 5.1276 5.2869 5.5172 63.29 89.45 61.33
Space group P1 (No. 1)
Inequivalent atoms, fractional coordinates:
Ta (0.0000, 0.0000, 0.0000) (multiplicity 1)
Ni (0.2914, 0.4160, 0.8875) (multiplicity 1)
Ni (0.7882, 0.4148, 0.3949) (multiplicity 1)
Pt (0.4932, 0.0077, 0.4933) (multiplicity 1)
O (0.0510, 0.5639, 0.1677) (multiplicity 1)
O (0.2236, 0.8780, 0.7269) (multiplicity 1)
O (0.3787, 0.8810, 0.2243) (multiplicity 1)
O (0.5994, 0.1922, 0.7068) (multiplicity 1)
O (0.7159, 0.1841, 0.2088) (multiplicity 1)
O (0.9157, 0.4618, 0.7204) (multiplicity 1)

Results
Energy ... -6.674 eV/atom

---

A relaxed TbNiPtO4 crystal. Source: Alexandria via LeMat-Bulk, functional GGA+U.

Lattice parameters (Å, degrees): 6.7274 7.0572 7.6186 90.00 90.00 90.00
Space group Imma (No. 74)
Inequivalent atoms, fractional coordinates:
Tb (0.2500, 0.2500, 0.2500) (multiplicity 4)
Ni (0.0000, 0.2500, 0.7010) (multiplicity 4)
Pt (0.0000, 0.0000, 0.0000) (multiplicity 4)
O (0.0000, 0.0325, 0.2688) (multiplicity 8)
O (0.1964, 0.2500, 0.9471) (multiplicity 8)

Results
Energy ... -6.233 eV/atom

---

A relaxed NiTePtO6 crystal. Source: Alexandria via LeMat-Bulk, functional GGA+U.

Lattice parameters (Å, degrees): 4.6447 4.6447 9.3748 90.00 90.00 90.00
Space group P4_2nm (No. 102)
Inequivalent atoms, fractional coordinates:
Ni (0.0000, 0.0000, 0.0000) (multiplicity 2)
Te (0.0000, 0.0000, 0.6683) (multiplicity 2)
Pt (0.0000, 0.0000, 0.3329) (multiplicity 2)
O (0.1898, 0.1898, 0.5039) (multiplicity 4)
O (0.1916, 0.1916, 0.8302) (multiplicity 4)
O (0.1980, 0.1980, 0.1660) (multiplicity 4)

Results
Energy ... -5.452 eV/atom

---

A relaxed ThNiPtO6 crystal. Source: Alexandria via LeMat-Bulk, functional GGA+U.

Lattice parameters (Å, degrees): 4.9131 4.9131 9.8415 90.00 90.00 90.00
Space group P4_2nm (No. 102)
Inequivalent atoms, fractional coordinates:
Th (0.0000, 0.0000, 0.0000) (multiplicity 2)
Ni (0.0000, 0.0000, 0.3347) (multiplicity 2)
Pt (0.0000, 0.0000, 0.6691) (multiplicity 2)
O (0.1760, 0.1760, 0.5091) (multiplicity 4)
O (0.1999, 0.1999, 0.8164) (multiplicity 4)
O (0.2161, 0.2161, 0.1765) (multiplicity 4)

Results
Energy ... -6.556 eV/atom

---

A relaxed TiNi2PtO6 crystal. Source: Alexandria via LeMat-Bulk, functional GGA+U.

Lattice parameters (Å, degrees): 5.6044 5.6044 4.1126 90.00 90.00 90.00
Space group P4mm (No. 99)
Inequivalent atoms, fractional coordinates:
Ti (0.0000, 0.0000, 0.0000) (multiplicity 1)
Ni (0.0000, 0.5000, 0.2545) (multiplicity 2)
Pt (0.5000, 0.5000, 0.0742) (multiplicity 1)
O (0.0000, 0.0000, 0.5891) (multiplicity 1)
O (0.2454, 0.2454, 0.1212) (multiplicity 4)
O (0.5000, 0.5000, 0.5785) (multiplicity 1)

Results
Energy ... -5.933 eV/atom

---

A relaxed TiNiPt2O6 crystal. Source: Alexandria via LeMat-Bulk, functional GGA+U.

Lattice parameters (Å, degrees): 12.7068 7.1127 5.4175 90.00 109.64 90.00
Space group C2/c (No. 15)
Inequivalent atoms, fractional coordinates:
Ti (0.0000, 0.1226, 0.2500) (multiplicity 4)
Ni (0.0000, 0.3178, 0.7500) (multiplicity 4)
Pt (0.2460, 0.3308, 0.2719) (multiplicity 8)
O (0.0805, 0.3024, 0.1393) (multiplicity 8)
O (0.0870, 0.1038, 0.6329) (multiplicity 8)
O (0.2065, 0.4123, 0.8640) (multiplicity 8)

Results
Energy ... -6.486 eV/atom

---

A relaxed TlNiPtO3 crystal. Source: Alexandria via LeMat-Bulk, functional GGA+U.

Lattice parameters (Å, degrees): 5.7521 12.4152 5.3486 90.00 90.00 90.00
Space group Cmcm (No. 63)
Inequivalent atoms, fractional coordinates:
Tl (0.0000, 0.2466, 0.2500) (multiplicity 4)
Ni (0.0000, 0.4322, 0.7500) (multiplicity 4)
Pt (0.0000, 0.0105, 0.7500) (multiplicity 4)
O (0.0000, 0.2786, 0.7500) (multiplicity 4)
O (0.2333, 0.5000, 0.0000) (multiplicity 8)

Results
Energy ... -4.712 eV/atom

---

A relaxed Tl2NiPtO6 crystal. Source: Alexandria via LeMat-Bulk, functional GGA+U.

Lattice parameters (Å, degrees): 9.7091 5.5313 5.4459 90.00 122.61 90.00
Space group C2 (No. 5)
Inequivalent atoms, fractional coordinates:
Tl (0.2458, 0.0000, 0.2214) (multiplicity 4)
Ni (0.0000, 0.4974, 0.0000) (multiplicity 2)
Pt (0.0000, 0.9968, 0.5000) (multiplicity 2)
O (0.0734, 0.2450, 0.8187) (multiplicity 4)
O (0.0735, 0.7500, 0.8202) (multiplicity 4)
O (0.2391, 0.9925, 0.6130) (multiplicity 4)

Results
Energy ... -4.990 eV/atom

---

A relaxed TlNiPtO4 crystal. Source: Alexandria via LeMat-Bulk, functional GGA+U.

Lattice parameters (Å, degrees): 6.4106 6.4566 9.0865 90.00 90.00 90.00
Space group Imma (No. 74)
Inequivalent atoms, fractional coordinates:
Tl (0.0000, 0.2500, 0.1168) (multiplicity 4)
Ni (0.0000, 0.0000, 0.5000) (multiplicity 4)
Pt (0.2500, 0.2500, 0.7500) (multiplicity 4)
O (0.0000, 0.0482, 0.7339) (multiplicity 8)
O (0.2090, 0.2500, 0.5249) (multiplicity 8)

Results
Energy ... -5.109 eV/atom

---

A relaxed YNiPtO4 crystal. Source: Alexandria via LeMat-Bulk, functional GGA+U.

Lattice parameters (Å, degrees): 6.6851 7.0544 7.6243 90.00 90.00 90.00
Space group Imma (No. 74)
Inequivalent atoms, fractional coordinates:
Y (0.2500, 0.2500, 0.2500) (multiplicity 4)
Ni (0.0000, 0.2500, 0.6996) (multiplicity 4)
Pt (0.0000, 0.0000, 0.0000) (multiplicity 4)
O (0.0000, 0.0329, 0.2684) (multiplicity 8)
O (0.1980, 0.2500, 0.9478) (multiplicity 8)

Results
Energy ... -6.490 eV/atom